[1]
Here is a geometry-optimized SrCa2CoGe structure from the Alexandria database. Energies are from PBE.

As for the magnetization: 1.29 μB per formula unit. As for the theoretical density: 2.61 g/cm3. The value obtained for the total DFT energy (no corrections) is -3.099 eV/atom.

Unit cell a=5.622 b=6.024 c=5.622 alpha=90.00 beta=90.00 gamma=90.00
Fractional positions:
Co1 0.500 0.500 0.500
Ca1 0.500 0.000 0.000
Ca2 0.000 0.000 0.500
Ge1 0.000 0.000 0.000
Sr1 0.000 0.500 0.000

***

[2]
Here is a geometry-optimized Pm5Pb3 structure from the Alexandria database. Energies are from PBE.

As for the magnetization: 0.00 μB per formula unit. As for the theoretical density: 8.67 g/cm3. The value obtained for the total DFT energy (no corrections) is -4.907 eV/atom.

Unit cell a=6.839 b=9.330 c=9.330 alpha=120.00 beta=90.00 gamma=90.00
Fractional positions:
Pb1 0.250 0.394 0.000
Pb2 0.250 0.606 0.606
Pb3 0.250 0.000 0.394
Pb4 0.750 0.394 0.394
Pb5 0.750 0.000 0.606
Pb6 0.750 0.606 0.000
Pm1 0.500 0.667 0.333
Pm2 0.000 0.333 0.667
Pm3 0.500 0.333 0.667
Pm4 0.250 0.762 0.000
Pm5 0.750 0.238 0.000
Pm6 0.250 0.000 0.762
Pm7 0.250 0.238 0.238
Pm8 0.750 0.762 0.762
Pm9 0.750 0.000 0.238
Pm10 0.000 0.667 0.333

***

[3]
Here is a geometry-optimized CsBa2SrCl structure from the Alexandria database. Energies are from PBE.

As for the magnetization: 0.00 μB per formula unit. As for the theoretical density: 3.04 g/cm3. The formation energy from raw total energies comes out at -288 kJ/mol of formula units.

Unit cell a=6.451 b=6.451 c=6.966 alpha=90.00 beta=90.00 gamma=90.00
Fractional positions:
Sr1 0.500 0.500 0.500
Cl1 0.000 0.000 0.000
Ba1 0.500 0.000 0.000
Ba2 0.000 0.500 0.000
Cs1 0.000 0.000 0.500

***

[4]
Here is a geometry-optimized ScGaOsO2 structure from the Alexandria database. Energies are from PBE.

As for the magnetization: 2.72 μB per formula unit. As for the theoretical density: 5.56 g/cm3. The formation energy from raw total energies comes out at -152 kJ/mol of formula units.

Unit cell a=3.828 b=6.861 c=3.828 alpha=90.00 beta=90.00 gamma=90.00
Fractional positions:
O1 0.500 0.000 0.000
O2 0.000 0.000 0.500
Os1 0.500 0.500 0.500
Sc1 0.000 0.000 0.000
Ga1 0.000 0.500 0.000

***

[5]
Here is a geometry-optimized Pr2Dy7Ho structure from the Alexandria database. Energies are from PBE.

As for the magnetization: 0.00 μB per formula unit. As for the theoretical density: 8.16 g/cm3. The value obtained for the total DFT energy (no corrections) is -4.616 eV/atom.

Unit cell a=6.187 b=9.462 c=6.180 alpha=109.04 beta=99.63 gamma=102.64
Fractional positions:
Dy1 0.500 0.500 0.000
Dy2 0.002 0.601 0.802
Dy3 0.500 0.099 0.799
Dy4 0.500 0.901 0.201
Dy5 0.000 0.801 0.399
Dy6 0.998 0.399 0.198
Dy7 0.000 0.199 0.601
Ho1 0.000 0.000 0.000
Pr1 0.499 0.299 0.399
Pr2 0.501 0.701 0.601

***

[6]
Here is a geometry-optimized RbHfGaO4 structure from the Alexandria database. Energies are from PBE.

As for the magnetization: 0.00 μB per formula unit. As for the theoretical density: 5.70 g/cm3. The formation energy from raw total energies comes out at -1642 kJ/mol of formula units.

Unit cell a=5.569 b=5.776 c=8.221 alpha=90.00 beta=118.89 gamma=90.00
Fractional positions:
Rb1 0.587 0.750 0.915
Rb2 0.413 0.250 0.085
O1 0.014 0.022 0.660
O2 0.457 0.250 0.425
O3 0.439 0.750 0.220
O4 0.014 0.478 0.660
O5 0.561 0.250 0.780
O6 0.543 0.750 0.575
O7 0.986 0.978 0.340
O8 0.986 0.522 0.340
Hf1 0.810 0.750 0.473
Hf2 0.190 0.250 0.527
Ga1 0.234 0.750 0.342
Ga2 0.766 0.250 0.658

***

[7]
Here is a geometry-optimized Hf2Nb2Tc structure from the Alexandria database. Energies are from PBE.

As for the magnetization: 0.00 μB per formula unit. As for the theoretical density: 10.52 g/cm3. The value obtained for the total DFT energy (no corrections) is -9.948 eV/atom.

Unit cell a=6.572 b=6.572 c=4.682 alpha=90.00 beta=90.00 gamma=90.00
Fractional positions:
Hf1 0.335 0.165 0.500
Hf2 0.165 0.665 0.500
Hf3 0.665 0.835 0.500
Hf4 0.835 0.335 0.500
Nb1 0.352 0.852 0.000
Nb2 0.648 0.148 0.000
Nb3 0.852 0.648 0.000
Nb4 0.148 0.352 0.000
Tc1 0.500 0.500 0.000
Tc2 0.000 0.000 0.000

***

[8]
Here is a geometry-optimized U2MnN structure from the Alexandria database. Energies are from PBE.

As for the magnetization: 0.05 μB per formula unit. As for the theoretical density: 14.50 g/cm3. The formation energy from raw total energies comes out at -110 kJ/mol of formula units.

Unit cell a=3.205 b=3.205 c=7.255 alpha=77.24 beta=77.24 gamma=60.00
Fractional positions:
U1 0.238 0.238 0.286
U2 0.762 0.762 0.714
N1 0.500 0.500 0.500
Mn1 0.000 0.000 0.000

***

[9]
Here is a geometry-optimized RbIn6Au2 structure from the Alexandria database. Energies are from PBE.

As for the magnetization: 0.00 μB per formula unit. As for the theoretical density: 6.28 g/cm3. The value obtained for the total DFT energy (no corrections) is -2.616 eV/atom.

Unit cell a=9.559 b=9.559 c=9.559 alpha=60.00 beta=60.00 gamma=60.00
Fractional positions:
Au1 0.125 0.125 0.125
Au2 0.125 0.625 0.125
Au3 0.125 0.125 0.625
Au4 0.625 0.125 0.125
In1 0.765 0.235 0.765
In2 0.765 0.235 0.235
In3 0.015 0.485 0.015
In4 0.235 0.235 0.765
In5 0.235 0.765 0.765
In6 0.235 0.765 0.235
In7 0.485 0.015 0.485
In8 0.015 0.015 0.485
In9 0.485 0.015 0.015
In10 0.015 0.485 0.485
In11 0.485 0.485 0.015
In12 0.765 0.765 0.235
Rb1 0.750 0.750 0.750
Rb2 0.500 0.500 0.500

***

[10]
Here is a geometry-optimized Er2Al5Zn12 structure from the Alexandria database. Energies are from PBE.

As for the magnetization: 0.00 μB per formula unit. As for the theoretical density: 6.62 g/cm3. The value obtained for the total DFT energy (no corrections) is -2.440 eV/atom.

Unit cell a=6.853 b=6.853 c=6.853 alpha=82.75 beta=82.75 gamma=82.75
Fractional positions:
Zn1 0.000 0.695 0.305
Zn2 0.646 0.646 0.164
Zn3 0.305 0.695 0.000
Zn4 0.354 0.836 0.354
Zn5 0.354 0.354 0.836
Zn6 0.646 0.164 0.646
Zn7 0.695 0.305 0.000
Zn8 0.164 0.646 0.646
Zn9 0.305 0.000 0.695
Zn10 0.695 0.000 0.305
Zn11 0.836 0.354 0.354
Zn12 0.000 0.305 0.695
Al1 0.099 0.099 0.099
Al2 0.000 0.500 0.000
Al3 0.500 0.000 0.000
Al4 0.000 0.000 0.500
Al5 0.901 0.901 0.901
Er1 0.331 0.331 0.331
Er2 0.669 0.669 0.669

***

[11]
Here is a geometry-optimized Bi2MoH structure from the Alexandria database. Energies are from PBE.

As for the magnetization: 2.55 μB per formula unit. As for the theoretical density: 10.36 g/cm3. The value obtained for the total DFT energy (no corrections) is -4.587 eV/atom.

Unit cell a=4.887 b=4.887 c=4.887 alpha=60.00 beta=60.00 gamma=60.00
Fractional positions:
Bi1 0.750 0.750 0.750
Bi2 0.250 0.250 0.250
H1 0.000 0.000 0.000
Mo1 0.500 0.500 0.500

***

[12]
Here is a geometry-optimized CdGaHg3 structure from the Alexandria database. Energies are from PBE.

As for the magnetization: 0.00 μB per formula unit. As for the theoretical density: 10.55 g/cm3. The value obtained for the total DFT energy (no corrections) is -0.927 eV/atom.

Unit cell a=6.048 b=5.530 c=15.788 alpha=69.18 beta=90.00 gamma=90.00
Fractional positions:
Cd1 0.709 0.615 0.633
Cd2 0.209 0.385 0.867
Cd3 0.291 0.385 0.367
Cd4 0.791 0.615 0.133
Ga1 0.033 0.770 0.480
Ga2 0.967 0.230 0.520
Ga3 0.467 0.770 0.980
Ga4 0.533 0.230 0.020
Hg1 0.783 0.413 0.337
Hg2 0.037 0.183 0.065
Hg3 0.929 0.030 0.718
Hg4 0.717 0.413 0.837
Hg5 0.429 0.970 0.782
Hg6 0.217 0.587 0.663
Hg7 0.463 0.183 0.565
Hg8 0.071 0.970 0.282
Hg9 0.537 0.817 0.435
Hg10 0.283 0.587 0.163
Hg11 0.571 0.030 0.218
Hg12 0.963 0.817 0.935

***

[13]
Here is a geometry-optimized CsSnHg2Pt structure from the Alexandria database. Energies are from PBE.

As for the magnetization: 0.00 μB per formula unit. As for the theoretical density: 8.91 g/cm3. The value obtained for the total DFT energy (no corrections) is -2.510 eV/atom.

Unit cell a=5.478 b=5.478 c=5.264 alpha=90.00 beta=90.00 gamma=90.00
Fractional positions:
Pt1 0.000 0.000 0.000
Hg1 0.000 0.500 0.000
Hg2 0.500 0.000 0.000
Cs1 0.500 0.500 0.500
Sn1 0.000 0.000 0.500

***

[14]
Here is a geometry-optimized TaFe2Tc structure from the Alexandria database. Energies are from PBE.

As for the magnetization: 4.44 μB per formula unit. As for the theoretical density: 11.56 g/cm3. The value obtained for the total DFT energy (no corrections) is -9.790 eV/atom.

Unit cell a=4.274 b=2.649 c=5.018 alpha=80.92 beta=90.00 gamma=90.00
Fractional positions:
Tc1 0.500 0.747 0.766
Fe1 0.000 0.019 0.004
Fe2 0.500 0.228 0.239
Ta1 0.000 0.506 0.491